# YTaI2

YTaI2 after structural relaxation (PBE, the Alexandria database).

The value obtained for the formation energy without anion corrections is 0.3911 eV/atom. The value obtained for the spin magnetization is 3.62 μB per cell. For the theoretical density, the calculation gives 7.234 g/cm3.

a b c (Å): 10.1420 10.1420 10.1420
angles (deg): 151.28 151.28 41.07
With the nearest neighbours (Å) after each atom.
Element x y z (fractional)
1 Y 0.0000 0.0000 0.0000  4 I 3.01
2 Y 0.7500 0.2500 0.5000  4 I 3.01
3 Ta 0.2500 0.7500 0.5000  4 I 2.93
4 Ta 0.5000 0.5000 0.0000  4 I 2.93
5 I 0.1444 0.6250 0.0194  2 Ta 2.93, 2 Y 3.01
6 I 0.3750 0.3944 0.5194  2 Ta 2.93, 2 Y 3.01
7 I 0.6056 0.1250 0.9806  2 Ta 2.93, 2 Y 3.01
8 I 0.8750 0.8556 0.4806  2 Ta 2.93, 2 Y 3.01